1.
## Li2PaFeO6 (PBE with a Hubbard U)

Data for a geometry-optimized Li2PaFeO6 structure.

a = 5.1444 Å, b = 5.1459 Å, c = 5.7808 Å
α = 63.60°, β = 63.61°, γ = 60.03°
Closest atoms and distances in Å follow each position.
Fractional coordinates of all 10 atoms:
Li: 0.6135 0.6137 0.1587  3 O 2.01
Li: 0.0187 0.0186 0.9443  3 O 2.01
Pa: 0.8162 0.8162 0.5515  6 O 2.16
Fe: 0.3162 0.3162 0.0515  6 O 1.93
O: 0.5658 0.2064 0.2739  1 Fe 1.93, 1 Li 2.01, 1 Pa 2.16
O: 0.2064 0.9538 0.2737  1 Fe 1.93, 1 Li 2.01, 1 Pa 2.16
O: 0.9538 0.5658 0.2740  1 Fe 1.93, 1 Li 2.01, 1 Pa 2.16
O: 0.4259 0.6785 0.8294  1 Fe 1.93, 1 Li 2.01, 1 Pa 2.16
O: 0.6785 0.0666 0.8291  1 Fe 1.93, 1 Li 2.01, 1 Pa 2.16
O: 0.0665 0.4258 0.8292  1 Fe 1.93, 1 Li 2.01, 1 Pa 2.16

V = 11.38 A^3/atom
VASP energy = -0.51296 Ry per atom



2.
## LiPaFeO6 (PBE with a Hubbard U)

Data for a geometry-optimized LiPaFeO6 structure.

a = 4.6937 Å, b = 5.0672 Å, c = 5.0672 Å
α = 120.00°, β = 90.00°, γ = 90.00°
Closest atoms and distances in Å follow each position.
Fractional coordinates of all 9 atoms:
Li: 0.5000 0.6667 0.3333  6 O 2.06
Pa: 0.0000 0.3333 0.6667  6 O 2.17
Fe: 0.5000 0.0000 0.0000  6 O 1.90
O: 0.7307 0.6927 0.6923  1 Fe 1.90, 1 Li 2.06
O: 0.7307 0.3077 0.0004  1 Fe 1.90, 1 Li 2.06
O: 0.7307 0.9996 0.3073  1 Fe 1.90, 1 Li 2.06
O: 0.2693 0.3077 0.3073  1 Fe 1.90, 1 Li 2.06
O: 0.2693 0.6927 0.0004  1 Fe 1.90, 1 Li 2.06
O: 0.2693 0.9996 0.6923  1 Fe 1.90, 1 Li 2.06

V = 11.60 A^3/atom
VASP energy = -0.51840 Ry per atom



3.
## LiFePbO4 (PBE with a Hubbard U)

Data for a geometry-optimized LiFePbO4 structure.

a = 5.9363 Å, b = 6.2435 Å, c = 6.2435 Å
α = 63.58°, β = 61.61°, γ = 61.61°
Closest atoms and distances in Å follow each position.
Fractional coordinates of all 14 atoms:
Li: 0.6178 0.6322 0.1322  2 O 1.94
Li: 0.3822 0.3678 0.8678  2 O 1.94
Fe: 0.5000 0.0000 0.5000  6 O 2.00
Fe: 0.0000 0.0000 0.5000  6 O 2.00
Pb: 0.0000 0.0000 0.0000  6 O 2.20-2.21
Pb: 0.0000 0.5000 0.5000  6 O 2.20-2.21
O: 0.7524 0.7932 0.7019  2 Fe 2.00, 1 Pb 2.20
O: 0.2476 0.7981 0.7068  2 Fe 2.00, 1 Pb 2.20
O: 0.7524 0.2019 0.2932  2 Fe 2.00, 1 Pb 2.20
O: 0.2476 0.2068 0.2981  2 Fe 2.00, 1 Pb 2.20
O: 0.2246 0.7729 0.2729  1 Li 1.94, 1 Fe 2.00
O: 0.7295 0.7729 0.2729  1 Li 1.94, 1 Fe 2.00
O: 0.2705 0.2271 0.7271  1 Li 1.94, 1 Fe 2.00
O: 0.7754 0.2271 0.7271  1 Li 1.94, 1 Fe 2.00

V = 12.27 A^3/atom
VASP energy = -0.40897 Ry per atom



4.
## Li2FePbO4 (PBE with a Hubbard U)

Data for a geometry-optimized Li2FePbO4 structure.

a = 6.2639 Å, b = 6.2639 Å, c = 6.4644 Å
α = 119.86°, β = 119.86°, γ = 90.14°
Closest atoms and distances in Å follow each position.
Fractional coordinates of all 16 atoms:
Li: 0.5000 0.0000 0.0000  6 O 2.17-2.35
Li: 0.5000 0.0000 0.5000  6 O 2.17-2.35
Li: 0.0000 0.0000 0.5000  6 O 2.20-2.35
Li: 0.5000 0.5000 0.0000  6 O 2.20-2.35
Fe: 0.5000 0.5000 0.5000  6 O 2.13-2.24
Fe: 0.0000 0.0000 0.0000  6 O 2.13-2.24
Pb: 0.0000 0.5000 0.0000  6 O 2.17-2.26
Pb: 0.0000 0.5000 0.5000  6 O 2.17-2.26
O: 0.2512 0.7474 0.9887  3 Li 2.17-2.35, 1 Fe 2.24, 2 Pb 2.24-2.26
O: 0.7526 0.2488 0.5113  3 Li 2.17-2.35, 1 Fe 2.23, 2 Pb 2.24-2.26
O: 0.2474 0.7511 0.4887  3 Li 2.17-2.35, 1 Fe 2.23, 2 Pb 2.24-2.26
O: 0.7489 0.2526 0.0113  3 Li 2.17-2.35, 1 Fe 2.23, 2 Pb 2.24-2.26
O: 0.7598 0.7478 0.9882  2 Fe 2.13-2.24, 1 Pb 2.17, 3 Li 2.27-2.35
O: 0.7522 0.7402 0.5118  2 Fe 2.13-2.24, 1 Pb 2.17, 3 Li 2.27-2.35
O: 0.2478 0.2598 0.4882  2 Fe 2.13-2.24, 1 Pb 2.17, 3 Li 2.27-2.35
O: 0.2402 0.2522 0.0118  2 Fe 2.13-2.24, 1 Pb 2.17, 3 Li 2.27-2.35

V = 11.24 A^3/atom
VASP energy = -0.40711 Ry per atom